A plane-wave DFT calculation with PBE-GGA was carried out for an optimized crystal structure of Zn6IrRh2.

Calculated values
ΔE_f (eV per atom): -0.06

POSCAR file:
```
Zn6IrRh2
1.0
-2.454 -3.147 -1.293
3.099 -0.374 -4.970
3.526 -2.338 5.839
Rh Zn Ir
2 6 1
Direct
0.665 0.668 0.336
0.335 0.332 0.664
0.500 0.249 0.000
0.163 0.418 0.331
0.163 0.913 0.331
0.500 0.751 0.000
0.837 0.087 0.669
0.837 0.582 0.669
0.000 0.000 0.000
```